# PBE with a Hubbard U K3NiO2, relaxed
data_K3NiO2
_chemical_formula_sum 'K12 Ni4 O8'
_cell_length_a 6.099
_cell_length_b 6.099
_cell_length_c 14.008
_cell_angle_alpha 90.00
_cell_angle_beta 90.01
_cell_angle_gamma 89.99
_symmetry_space_group_name_H-M 'P 1'
_symmetry_Int_Tables_number 1
loop_
_symmetry_equiv_pos_as_xyz
'x,y,z'
loop_
_atom_site_label
_atom_site_fract_x
_atom_site_fract_y
_atom_site_fract_z
O1 0.299 0.287 0.240
O2 0.287 0.299 0.760
O3 0.786 0.201 0.990
O4 0.713 0.701 0.260
O5 0.214 0.799 0.490
O6 0.799 0.214 0.510
O7 0.201 0.786 0.011
O8 0.701 0.714 0.740
Ni1 0.496 0.504 0.750
Ni2 0.504 0.496 0.250
Ni3 0.996 0.995 0.000
Ni4 0.004 0.004 0.500
K1 0.021 0.522 0.625
K2 0.521 0.978 0.125
K3 0.450 0.450 0.000
K4 0.050 0.950 0.250
K5 0.979 0.478 0.126
K6 0.479 0.022 0.625
K7 0.550 0.550 0.500
K8 0.522 0.021 0.375
K9 0.022 0.479 0.375
K10 0.950 0.050 0.750
K11 0.477 0.979 0.875
K12 0.978 0.520 0.875
# total DFT energy (no corrections)	-3.634	eV/atom
# theoretical density	2.65	Mg/m³